Density functional theory data (PBE-GGA) for PmPr6Ho2Mg after structural relaxation.

Symmetry: C2/c
E_form (eV/atom): 0.10

```
PmPr6Ho2Mg
1.0
5.241 -6.928 0.000
5.241 6.928 0.000
-1.703 0.000 9.381
Pm Pr Ho Mg
2 12 4 2
Direct
0.064 0.936 0.750 Pm
0.936 0.064 0.250 Pm
0.033 0.460 0.328 Pr
0.079 0.742 0.076 Pr
0.258 0.921 0.424 Pr
0.327 0.561 0.904 Pr
0.439 0.673 0.596 Pr
0.460 0.033 0.828 Pr
0.540 0.967 0.172 Pr
0.561 0.327 0.404 Pr
0.673 0.439 0.096 Pr
0.742 0.079 0.576 Pr
0.921 0.258 0.924 Pr
0.967 0.540 0.672 Pr
0.200 0.268 0.594 Ho
0.268 0.200 0.094 Ho
0.732 0.800 0.906 Ho
0.800 0.732 0.406 Ho
0.402 0.598 0.250 Mg
0.598 0.402 0.750 Mg
```

Density functional theory data (PBE-GGA) for Tb6ScZn after structural relaxation.

Symmetry: R-3
E_form (eV/atom): 0.05

```
Tb6ScZn
1.0
4.564 2.635 3.256
-4.564 2.635 3.256
0.000 -5.270 3.256
Tb Sc Zn
6 1 1
Direct
0.041 0.760 0.571 Tb
0.240 0.429 0.959 Tb
0.429 0.959 0.240 Tb
0.571 0.041 0.760 Tb
0.760 0.571 0.041 Tb
0.959 0.240 0.429 Tb
0.500 0.500 0.500 Sc
0.000 0.000 0.000 Zn
```

Density functional theory data (PBE-GGA) for Sr3W2N4 after structural relaxation.

Symmetry: C2/c
E_form (uncorrected) (eV per formula unit): -3.7

```
Sr3W2N4
1.0
5.921 -4.488 0.000
5.921 4.488 0.000
-0.144 0.000 5.757
Sr W N
6 4 8
Direct
0.102 0.898 0.750 Sr
0.253 0.511 0.476 Sr
0.489 0.747 0.024 Sr
0.511 0.253 0.976 Sr
0.747 0.489 0.524 Sr
0.898 0.102 0.250 Sr
0.072 0.327 0.906 W
0.327 0.072 0.406 W
0.673 0.928 0.594 W
0.928 0.673 0.094 W
0.109 0.232 0.584 N
0.195 0.540 0.990 N
0.232 0.109 0.084 N
0.460 0.805 0.510 N
0.540 0.195 0.490 N
0.768 0.891 0.916 N
0.805 0.460 0.010 N
0.891 0.768 0.416 N
```

Density functional theory data (PBE-GGA) for Dy5Ho3Sb8 after structural relaxation.

Symmetry: R-3m
E_form (uncorrected) (eV per formula unit): -18.0

```
Dy5Ho3Sb8
1.0
4.378 2.528 7.149
-4.378 2.528 7.149
0.000 -5.055 7.149
Dy Ho Sb
5 3 8
Direct
0.000 0.000 0.000 Dy
0.000 0.500 0.500 Dy
0.500 0.000 0.500 Dy
0.500 0.500 0.000 Dy
0.500 0.500 0.500 Dy
0.000 0.000 0.500 Ho
0.000 0.500 0.000 Ho
0.500 0.000 0.000 Ho
0.249 0.750 0.750 Sb
0.250 0.250 0.250 Sb
0.250 0.250 0.751 Sb
0.250 0.751 0.250 Sb
0.750 0.249 0.750 Sb
0.750 0.750 0.249 Sb
0.750 0.750 0.750 Sb
0.751 0.250 0.250 Sb
```

Density functional theory data (PBE-GGA) for Na4Tm3CdTe8 after structural relaxation.

Symmetry: R-3m
E_form (uncorrected) (eV per formula unit): -17.0

```
Na4Tm3CdTe8
1.0
4.342 2.507 7.669
-4.342 2.507 7.669
0.000 -5.014 7.669
Na Tm Cd Te
4 3 1 8
Direct
0.000 0.000 0.000 Na
0.000 0.500 0.500 Na
0.500 0.000 0.500 Na
0.500 0.500 0.000 Na
0.000 0.000 0.500 Tm
0.000 0.500 0.000 Tm
0.500 0.000 0.000 Tm
0.500 0.500 0.500 Cd
0.240 0.744 0.744 Te
0.243 0.243 0.243 Te
0.256 0.256 0.760 Te
0.256 0.760 0.256 Te
0.744 0.240 0.744 Te
0.744 0.744 0.240 Te
0.757 0.757 0.757 Te
0.760 0.256 0.256 Te
```

Density functional theory data (PBE-GGA) for K3CeTm3S8 after structural relaxation.

Symmetry: R-3m
E_form (uncorrected) (eV per formula unit): -28.0

```
K3CeTm3S8
1.0
3.994 2.306 7.466
-3.994 2.306 7.466
0.000 -4.612 7.466
K Ce Tm S
3 1 3 8
Direct
0.000 0.500 0.500 K
0.500 0.000 0.500 K
0.500 0.500 0.000 K
0.500 0.500 0.500 Ce
0.000 0.000 0.500 Tm
0.000 0.500 0.000 Tm
0.500 0.000 0.000 Tm
0.230 0.733 0.733 S
0.233 0.233 0.233 S
0.267 0.267 0.770 S
0.267 0.770 0.267 S
0.733 0.230 0.733 S
0.733 0.733 0.230 S
0.767 0.767 0.767 S
0.770 0.267 0.267 S
```

Density functional theory data (PBE-GGA) for Sm2Be4Ge3Pt after structural relaxation.

Symmetry: P-4m2
E_form (eV/atom): -0.56

```
Sm2Be4Ge3Pt
1.0
3.972 0.000 0.000
0.000 3.972 0.000
0.000 0.000 9.946
Sm Be Ge Pt
2 4 3 1
Direct
0.000 0.500 0.247 Sm
0.500 0.000 0.753 Sm
0.000 0.000 0.000 Be
0.000 0.500 0.631 Be
0.500 0.000 0.369 Be
0.500 0.500 0.000 Be
0.000 0.500 0.867 Ge
0.500 0.000 0.133 Ge
0.500 0.500 0.500 Ge
0.000 0.000 0.500 Pt
```

Density functional theory data (PBE-GGA) for Pr7YEr12 after structural relaxation.

Symmetry: R-3
E_form (eV/atom): 0.23

```
Pr7YEr12
1.0
5.992 3.459 5.429
-5.992 3.459 5.429
0.000 -6.919 5.429
Pr Y Er
7 1 12
Direct
0.000 0.000 0.000 Pr
0.102 0.343 0.420 Pr
0.343 0.420 0.102 Pr
0.420 0.102 0.343 Pr
0.580 0.898 0.657 Pr
0.657 0.580 0.898 Pr
0.898 0.657 0.580 Pr
0.500 0.500 0.500 Y
0.003 0.365 0.883 Er
0.117 0.997 0.635 Er
0.227 0.753 0.355 Er
0.247 0.645 0.773 Er
0.355 0.227 0.753 Er
0.365 0.883 0.003 Er
0.635 0.117 0.997 Er
0.645 0.773 0.247 Er
0.753 0.355 0.227 Er
0.773 0.247 0.645 Er
0.883 0.003 0.365 Er
0.997 0.635 0.117 Er
```